Record 1
A geometry-optimized InFeTc2 structure. Source: Alexandria, functional GGA-PBE.

POSCAR file:
```
InFeTc2
1.0
4.334 0.000 0.000
0.000 4.334 0.000
0.000 0.000 3.281
In Fe Tc
1 1 2
Direct
0.000 0.000 0.000
0.500 0.500 0.000
0.000 0.500 0.500
0.500 0.000 0.500
```

Summary:
Size of the total moment: 3.44 μB/cell
E_tot: -30.34 eV/cell
Formation enthalpy at 0 K: 9.20 kcal/mol of atoms


Record 2
A geometry-optimized InFe4Tc structure. Source: Alexandria, functional GGA-PBE.

POSCAR file:
```
InFe4Tc
1.0
0.000 3.417 3.417
3.417 0.000 3.417
3.417 3.417 0.000
In Fe Tc
1 4 1
Direct
0.000 0.000 0.000
0.376 0.376 0.376
0.376 0.376 0.872
0.376 0.872 0.376
0.872 0.376 0.376
0.750 0.750 0.750
```

Summary:
Size of the total moment: 8.89 μB/cell
E_tot: -46.05 eV/cell
Formation enthalpy at 0 K: 3.47 kcal/mol of atoms


Record 3
A geometry-optimized InFeTc2 structure. Source: Alexandria, functional GGA-PBE.

POSCAR file:
```
InFeTc2
1.0
2.865 0.000 0.000
0.000 3.761 0.000
0.000 0.000 5.826
In Fe Tc
1 1 2
Direct
0.000 0.000 0.000
0.000 0.000 0.500
0.500 0.500 0.297
0.500 0.500 0.703
```

Summary:
Size of the total moment: 2.08 μB/cell
E_tot: -30.79 eV/cell
Formation enthalpy at 0 K: 6.59 kcal/mol of atoms


Record 4
A geometry-optimized InFeTc2 structure. Source: Alexandria, functional GGA-PBE.

POSCAR file:
```
InFeTc2
1.0
4.819 -1.614 0.000
4.819 1.614 0.000
-2.013 0.000 3.925
In Fe Tc
1 1 2
Direct
0.000 0.000 0.000
0.248 0.248 0.748
0.513 0.513 0.513
0.768 0.768 0.268
```

Summary:
Size of the total moment: 2.27 μB/cell
E_tot: -30.86 eV/cell
Formation enthalpy at 0 K: 6.21 kcal/mol of atoms


Record 5
A geometry-optimized InFeTc2 structure. Source: Alexandria, functional GGA-PBE.

POSCAR file:
```
InFeTc2
1.0
3.000 0.000 0.000
0.000 3.000 0.000
0.000 0.000 6.840
In Fe Tc
1 1 2
Direct
0.000 0.000 0.000
0.000 0.000 0.500
0.500 0.500 0.294
0.500 0.500 0.706
```

Summary:
Size of the total moment: 2.15 μB/cell
E_tot: -31.03 eV/cell
Formation enthalpy at 0 K: 5.19 kcal/mol of atoms


Record 6
A geometry-optimized InFeTc2 structure. Source: Alexandria, functional GGA-PBE.

POSCAR file:
```
InFeTc2
1.0
2.905 0.000 0.000
0.000 3.770 0.000
-0.009 0.000 5.721
In Fe Tc
1 1 2
Direct
0.000 0.000 0.000
0.501 0.500 0.268
0.006 0.000 0.494
0.498 0.500 0.700
```

Summary:
Size of the total moment: 3.02 μB/cell
E_tot: -31.02 eV/cell
Formation enthalpy at 0 K: 5.28 kcal/mol of atoms


Record 7
A geometry-optimized InFe2Tc structure. Source: Alexandria, functional GGA-PBE.

POSCAR file:
```
InFe2Tc
1.0
-1.623 2.180 4.237
1.623 -2.180 4.237
1.623 2.180 -4.237
In Fe Tc
1 2 1
Direct
0.000 0.000 0.000
0.262 0.762 0.500
0.738 0.238 0.500
0.500 0.500 0.000
```

Summary:
Size of the total moment: 5.79 μB/cell
E_tot: -28.72 eV/cell
Formation enthalpy at 0 K: 7.55 kcal/mol of atoms


Record 8
A geometry-optimized InFe2Tc structure. Source: Alexandria, functional GGA-PBE.

POSCAR file:
```
InFe2Tc
1.0
-3.485 3.485 2.683
3.485 -3.485 2.683
3.485 3.485 -2.683
In Fe Tc
2 4 2
Direct
0.000 0.000 0.000
0.750 0.250 0.500
0.160 0.625 0.035
0.375 0.410 0.535
0.590 0.125 0.965
0.875 0.840 0.465
0.250 0.750 0.500
0.500 0.500 0.000
```

Summary:
Size of the total moment: 9.92 μB/cell
E_tot: -54.38 eV/cell
Formation enthalpy at 0 K: 16.36 kcal/mol of atoms


Record 9
A geometry-optimized In2Fe2Tc structure. Source: Alexandria, functional GGA-PBE.

POSCAR file:
```
In2Fe2Tc
1.0
-2.471 2.471 3.687
2.471 -2.471 3.687
2.471 2.471 -3.687
In Fe Tc
2 2 1
Direct
0.250 0.750 0.500
0.750 0.250 0.500
0.150 0.150 0.000
0.850 0.850 0.000
0.500 0.500 0.000
```

Summary:
Size of the total moment: 6.07 μB/cell
E_tot: -28.79 eV/cell
Formation enthalpy at 0 K: 18.34 kcal/mol of atoms


Record 10
A geometry-optimized InFeTc2 structure. Source: Alexandria, functional GGA-PBE.

POSCAR file:
```
InFeTc2
1.0
0.000 3.135 3.135
3.135 0.000 3.135
3.135 3.135 0.000
In Fe Tc
1 1 2
Direct
0.000 0.000 0.000
0.250 0.250 0.250
0.500 0.500 0.500
0.750 0.750 0.750
```

Summary:
Size of the total moment: 2.99 μB/cell
E_tot: -30.65 eV/cell
Formation enthalpy at 0 K: 7.37 kcal/mol of atoms


Record 11
A geometry-optimized InFeTc2 structure. Source: Alexandria, functional GGA-PBE.

POSCAR file:
```
InFeTc2
1.0
1.416 0.817 8.959
-1.416 0.817 8.959
0.000 -1.635 8.959
In Fe Tc
1 1 2
Direct
0.000 0.000 0.000
0.752 0.752 0.752
0.242 0.242 0.242
0.498 0.498 0.498
```

Summary:
Size of the total moment: 2.31 μB/cell
E_tot: -30.76 eV/cell
Formation enthalpy at 0 K: 6.75 kcal/mol of atoms


Record 12
A geometry-optimized InFeTc2 structure. Source: Alexandria, functional GGA-PBE.

POSCAR file:
```
InFeTc2
1.0
-2.001 2.001 3.827
2.001 -2.001 3.827
2.001 2.001 -3.827
In Fe Tc
1 1 2
Direct
0.000 0.000 0.000
0.750 0.250 0.500
0.250 0.750 0.500
0.500 0.500 0.000
```

Summary:
Size of the total moment: 3.04 μB/cell
E_tot: -30.72 eV/cell
Formation enthalpy at 0 K: 6.97 kcal/mol of atoms


Record 13
A geometry-optimized InFe2Tc structure. Source: Alexandria, functional GGA-PBE.

POSCAR file:
```
InFe2Tc
1.0
-1.514 2.210 4.375
1.514 -2.210 4.375
1.514 2.210 -4.375
In Fe Tc
1 2 1
Direct
0.000 0.000 0.000
0.519 0.519 0.000
0.739 0.239 0.500
0.275 0.775 0.500
```

Summary:
Size of the total moment: 5.37 μB/cell
E_tot: -29.03 eV/cell
Formation enthalpy at 0 K: 5.76 kcal/mol of atoms


Record 14
A geometry-optimized InFeTc2 structure. Source: Alexandria, functional GGA-PBE.

POSCAR file:
```
InFeTc2
1.0
2.941 0.000 0.000
0.000 2.941 0.000
0.000 0.000 7.270
In Fe Tc
1 1 2
Direct
0.000 0.000 0.000
0.500 0.500 0.734
0.000 0.000 0.503
0.500 0.500 0.291
```

Summary:
Size of the total moment: 2.84 μB/cell
E_tot: -31.13 eV/cell
Formation enthalpy at 0 K: 4.60 kcal/mol of atoms


Record 15
A geometry-optimized InFe2Tc structure. Source: Alexandria, functional GGA-PBE.

POSCAR file:
```
InFe2Tc
1.0
2.916 0.000 0.000
0.000 2.916 0.000
0.000 0.000 6.888
In Fe Tc
1 2 1
Direct
0.000 0.000 0.000
0.000 0.000 0.520
0.500 0.500 0.720
0.500 0.500 0.306
```

Summary:
Size of the total moment: 4.44 μB/cell
E_tot: -29.30 eV/cell
Formation enthalpy at 0 K: 4.23 kcal/mol of atoms


Record 16
A geometry-optimized InFe2Tc structure. Source: Alexandria, functional GGA-PBE.

POSCAR file:
```
InFe2Tc
1.0
2.786 0.000 0.000
0.000 2.786 0.000
0.000 0.000 7.421
In Fe Tc
1 2 1
Direct
0.000 0.000 0.000
0.500 0.500 0.273
0.500 0.500 0.727
0.000 0.000 0.500
```

Summary:
Size of the total moment: 3.25 μB/cell
E_tot: -29.05 eV/cell
Formation enthalpy at 0 K: 5.68 kcal/mol of atoms


Record 17
A geometry-optimized In2Fe2Tc structure. Source: Alexandria, functional GGA-PBE.

POSCAR file:
```
In2Fe2Tc
1.0
6.185 0.000 0.000
0.000 6.185 0.000
0.000 0.000 4.184
In Fe Tc
4 4 2
Direct
0.179 0.321 0.000
0.321 0.821 0.000
0.679 0.179 0.000
0.821 0.679 0.000
0.127 0.627 0.500
0.373 0.127 0.500
0.627 0.873 0.500
0.873 0.373 0.500
0.000 0.000 0.500
0.500 0.500 0.500
```

Summary:
Size of the total moment: 3.11 μB/cell
E_tot: -61.55 eV/cell
Formation enthalpy at 0 K: 9.20 kcal/mol of atoms


Record 18
A geometry-optimized InFe2Tc structure. Source: Alexandria, functional GGA-PBE.

POSCAR file:
```
InFe2Tc
1.0
-1.940 1.940 3.883
1.940 -1.940 3.883
1.940 1.940 -3.883
In Fe Tc
1 2 1
Direct
0.000 0.000 0.000
0.500 0.500 0.000
0.750 0.250 0.500
0.250 0.750 0.500
```

Summary:
Size of the total moment: 5.00 μB/cell
E_tot: -28.73 eV/cell
Formation enthalpy at 0 K: 7.47 kcal/mol of atoms


Record 19
A geometry-optimized InFeTc2 structure. Source: Alexandria, functional GGA-PBE.

POSCAR file:
```
InFeTc2
1.0
3.874 0.000 0.000
0.000 3.874 0.000
0.000 0.000 4.093
In Fe Tc
1 1 2
Direct
0.000 0.000 0.000
0.500 0.500 0.000
0.000 0.500 0.500
0.500 0.000 0.500
```

Summary:
Size of the total moment: 3.13 μB/cell
E_tot: -30.41 eV/cell
Formation enthalpy at 0 K: 8.77 kcal/mol of atoms


Record 20
A geometry-optimized InFe2Tc structure. Source: Alexandria, functional GGA-PBE.

POSCAR file:
```
InFe2Tc
1.0
4.016 0.000 0.000
0.000 4.016 0.000
0.000 0.000 3.665
In Fe Tc
1 2 1
Direct
0.000 0.000 0.000
0.000 0.500 0.500
0.500 0.000 0.500
0.500 0.500 0.000
```

Summary:
Size of the total moment: 5.89 μB/cell
E_tot: -28.91 eV/cell
Formation enthalpy at 0 K: 6.44 kcal/mol of atoms